Below is a geometry-optimized Na2Ti3O6 structure, with properties calculated at the PBE level.

Output
raw total energy: -7.732 eV/atom
spin magnetization: 1.91 μB/f.u.
DOS at the Fermi energy: 5.8 states/eV per cell

a b c (Å): 5.1895 5.1764 5.8448
angles (deg): 81.71 73.29 59.92
Last column: nearest neighbours and their distance in Å.
Sites, in units of the cell vectors:
Na: 0.1682 0.6635 0.5000  6 O 2.42-2.43
Na: 0.8318 0.3365 0.5000  6 O 2.42-2.43
Ti: 0.0000 0.0000 0.0000  6 O 2.03-2.04
Ti: 0.3390 0.3220 0.0000  6 O 2.03-2.06
Ti: 0.6610 0.6780 0.0000  6 O 2.03-2.06
O: 0.3968 0.6632 0.8077  3 Ti 2.04-2.06
O: 0.7383 0.0000 0.8009  3 Ti 2.03
O: 0.0601 0.3368 0.8077  3 Ti 2.04-2.06
O: 0.2617 0.0000 0.1991  3 Ti 2.03
O: 0.6032 0.3368 0.1923  3 Ti 2.04-2.06
O: 0.9399 0.6632 0.1923  3 Ti 2.04-2.06

Below is a geometry-optimized NaTi6O12 structure, with properties calculated at the PBE level.

Output
raw total energy: -8.539 eV/atom
spin magnetization: 0.43 μB/f.u.
polymorph energy (0 for the lowest one): 0.035 eV/atom
DOS at the Fermi energy: 7.1 states/eV per cell

a b c (Å): 9.3057 5.9752 5.9752
angles (deg): 84.50 58.73 121.27
Last column: nearest neighbours and their distance in Å.
Sites, in units of the cell vectors:
Na: 0.0000 0.0000 0.0000  6 O 2.27
Ti: 0.4379 0.5385 0.2849  4 O 1.88-1.95
Ti: 0.1005 0.8233 0.4615  4 O 1.88-1.95
Ti: 0.2772 0.7151 0.8233  4 O 1.88-1.95
Ti: 0.5621 0.4615 0.7151  4 O 1.88-1.95
Ti: 0.8995 0.1767 0.5385  4 O 1.88-1.95
Ti: 0.7228 0.2849 0.1767  4 O 1.88-1.95
O: 0.4805 0.8741 0.3441  2 Ti 1.88-1.94
O: 0.6064 0.7818 0.8741  2 Ti 1.88-1.94
O: 0.8246 0.3441 0.7818  2 Ti 1.88-1.94
O: 0.5195 0.1259 0.6559  2 Ti 1.88-1.94
O: 0.3936 0.2182 0.1259  2 Ti 1.88-1.94
O: 0.1754 0.6559 0.2182  2 Ti 1.88-1.94
O: 0.3438 0.4556 0.7579  2 Ti 1.89-1.95
O: 0.8983 0.2421 0.2136  2 Ti 1.89-1.95
O: 0.1119 0.2136 0.5444  2 Ti 1.89-1.95
O: 0.6562 0.5444 0.2421  2 Ti 1.89-1.95
O: 0.1017 0.7579 0.7864  2 Ti 1.89-1.95
O: 0.8881 0.7864 0.4556  2 Ti 1.89-1.95